# 1
Nd7Y12Pu: relaxed, GGA-PBE.

Structure (extended XYZ):
```
20
Lattice="-3.266 -0.590 9.273 -7.338 -2.146 -6.208 7.374 -6.398 -1.297" Properties=species:S:1:pos:R:3 pbc="T T T"
Nd -5.302 -1.368 1.532
Nd 0.018 -4.272 -3.752
Nd 2.054 -3.494 3.988
Nd -1.615 -4.567 0.884
Nd 3.687 -3.199 -0.648
Nd -1.633 -0.295 4.636
Nd -3.669 -1.073 -3.104
Y -1.628 -6.734 -0.957
Y -3.708 -3.196 -4.995
Y -1.602 -2.400 2.725
Y 0.477 -5.938 6.763
Y -7.978 -4.169 0.456
Y -0.621 -6.351 2.863
Y 4.747 -4.966 1.312
Y -2.609 -2.784 -1.095
Y -4.253 -5.301 1.653
Y 1.022 -3.834 0.115
Y -4.271 -0.975 5.452
Y 1.040 -8.159 -3.684
Pu 0.000 0.000 0.000
```

Properties
**SG**: Im-3m, No. 229
**ΔH_f (0 K)**: 13.182 eV per formula unit

***

# 2
PrTlTe2: relaxed, GGA-PBE.

Structure (extended XYZ):
```
4
Lattice="-0.804 8.549 0.289 -3.345 6.952 3.780 1.215 7.365 4.252" Properties=species:S:1:pos:R:3 pbc="T T T"
Pr 0.000 0.000 0.000
Tl -1.467 11.433 4.160
Te -2.173 16.938 6.163
Te -0.761 5.929 2.157
```

Properties
**Formation energy without anion corrections**: -1077 meV/atom
**SG**: R-3m, No. 166

***

# 3
BaTlIrN2: relaxed, GGA-PBE.

Structure (extended XYZ):
```
5
Lattice="-3.607 -0.282 2.865 0.245 -5.277 -0.210 2.871 -0.010 3.613" Properties=species:S:1:pos:R:3 pbc="T T T"
Tl 0.000 0.000 0.000
Ir 0.123 -2.639 -0.105
Ba -0.245 -2.785 3.134
N 1.435 -0.005 1.806
N -1.803 -0.141 1.432
```

Properties
**Formation energy without anion corrections**: 1540 meV/atom
**SG**: P4/mmm, No. 123

***

# 4
SrLiS2O6: relaxed, GGA-PBE.

Structure (extended XYZ):
```
10
Lattice="-3.436 3.212 -2.368 -5.173 -0.739 0.650 -2.790 4.243 3.949" Properties=species:S:1:pos:R:3 pbc="T T T"
Sr 0.000 0.000 0.000
Li -5.699 3.358 1.115
S -8.557 4.685 1.208
S -2.841 2.031 1.023
O -4.902 2.922 3.150
O -4.705 5.341 1.316
O -3.966 2.426 0.072
O -6.496 3.794 -0.919
O -6.694 1.375 0.914
O -7.432 4.290 2.159
```

Properties
**Formation energy without anion corrections**: -1764 meV/atom
**SG**: R-3, No. 148

***

# 5
RbCrCu3: relaxed, GGA-PBE.

Structure (extended XYZ):
```
5
Lattice="4.941 0.000 0.000 0.000 4.941 0.000 0.000 0.000 4.941" Properties=species:S:1:pos:R:3 pbc="T T T"
Cr 0.000 0.000 0.000
Cu 0.000 2.471 0.000
Cu 0.000 0.000 2.471
Cu 2.471 0.000 0.000
Rb 2.471 2.471 2.471
```

Properties
**SG**: Pm-3m, No. 221
**ΔH_f (0 K)**: 4.425 eV per formula unit

***

# 6
BaCr3Co: relaxed, GGA-PBE.

Structure (extended XYZ):
```
5
Lattice="-0.144 3.997 2.563 0.764 -2.511 3.959 4.686 0.532 -0.567" Properties=species:S:1:pos:R:3 pbc="T T T"
Cr 0.382 -1.256 1.980
Cr 2.343 0.266 -0.283
Cr -0.072 1.999 1.281
Co 0.000 0.000 0.000
Ba 2.653 1.009 2.978
```

Properties
**SG**: Pm-3m, No. 221
**ΔH_f (0 K)**: 4.943 eV per formula unit

***

# 7
MnAsCl3: relaxed, GGA-PBE.

Structure (extended XYZ):
```
5
Lattice="-3.872 -0.111 -2.615 -2.296 -2.095 3.490 -1.255 4.176 1.681" Properties=species:S:1:pos:R:3 pbc="T T T"
As -3.712 0.985 1.278
Mn 0.000 0.000 0.000
Cl -1.148 -1.048 1.745
Cl -0.628 2.088 0.841
Cl -1.936 -0.056 -1.307
```

Properties
**Formation energy without anion corrections**: 253 meV/atom
**SG**: Pm-3m, No. 221

***

# 8
La2Zn6Rh: relaxed, GGA-PBE.

Structure (extended XYZ):
```
9
Lattice="5.901 0.000 0.000 -2.951 5.107 0.509 0.000 -0.603 5.801" Properties=species:S:1:pos:R:3 pbc="T T T"
La 2.951 1.597 1.104
La 0.000 2.907 5.207
Zn 4.378 0.482 3.959
Zn 2.951 2.927 4.206
Zn 1.523 0.482 3.959
Zn -1.427 4.022 2.351
Zn 0.000 1.578 2.105
Zn 1.427 4.022 2.351
Rh 0.000 0.000 0.000
```

Properties
**SG**: C2/m, No. 12
**ΔH_f (0 K)**: -3.356 eV per formula unit

***

# 9
BaPmZn: relaxed, GGA-PBE.

Structure (extended XYZ):
```
3
Lattice="-1.546 3.285 -1.423 -3.183 -0.553 2.183 5.244 2.198 4.719" Properties=species:S:1:pos:R:3 pbc="T T T"
Zn -1.280 2.709 2.301
Ba 0.125 0.154 0.221
Pm 1.670 2.067 2.958
```

Properties
**SG**: I4mm, No. 107
**ΔH_f (0 K)**: -0.292 eV per formula unit

***

# 10
NaSrPb2: relaxed, GGA-PBE.

Structure (extended XYZ):
```
16
Lattice="4.958 0.000 0.000 0.000 11.080 0.000 0.000 0.000 9.657" Properties=species:S:1:pos:R:3 pbc="T T T"
Na 1.240 4.496 0.221
Na 1.240 10.036 4.608
Na 3.719 6.585 9.436
Na 3.719 1.045 5.049
Sr 3.719 10.099 1.451
Sr 1.240 0.981 8.205
Sr 3.719 4.559 3.377
Sr 1.240 6.522 6.280
Pb 3.719 9.487 7.229
Pb 1.240 1.594 2.428
Pb 3.719 3.946 7.256
Pb 1.240 7.134 2.401
Pb 3.719 8.012 4.253
Pb 1.240 8.608 9.082
Pb 3.719 2.472 0.575
Pb 1.240 3.068 5.403
```

Properties
**SG**: Pnma, No. 62
**ΔH_f (0 K)**: -1.361 eV per formula unit

***

# 11
BaCuRu2: relaxed, GGA-PBE.

Structure (extended XYZ):
```
4
Lattice="1.323 -3.816 2.460 -3.202 -3.266 1.201 0.062 -4.248 -2.077" Properties=species:S:1:pos:R:3 pbc="T T T"
Ru -0.454 -2.832 0.396
Ru -1.363 -8.497 1.188
Ba -0.909 -5.665 0.792
Cu 0.000 0.000 0.000
```

Properties
**SG**: Fm-3m, No. 225
**ΔH_f (0 K)**: 4.391 eV per formula unit

***

# 12
DyHgPt: relaxed, GGA-PBE.

Structure (extended XYZ):
```
6
Lattice="-1.499 -1.247 4.634 4.290 -1.862 -1.844 2.977 4.665 2.218" Properties=species:S:1:pos:R:3 pbc="T T T"
Dy 4.809 1.116 3.217
Dy 0.961 0.440 1.791
Hg 2.145 -0.931 -0.922
Hg 3.634 1.401 0.187
Pt 2.447 2.773 2.902
Pt 3.322 -1.217 2.106
```

Properties
**SG**: P6_3/mmc, No. 194
**ΔH_f (0 K)**: -2.503 eV per formula unit

***

Respective total magnetic moment values: 6.781 0.000 3.669 1.003 4.303 10.441 2.255 0.000 0.000 0.000 2.692 0.000 μB per formula unit.
Respective electronic total energy values: -5.605 -4.435 -4.421 -5.924 -3.691 -6.591 -3.619 -3.134 -2.746 -2.945 -5.045 -4.483 eV per atom.